This record from Alexandria via LeMat-Bulk describes Nd2Ho after structural relaxation. The functional is PBE.

For the formation energy, the calculation gives 0.02 eV per atom. For the size of the total moment, the calculation gives 0.00 μB/f.u. The calculated volume is 203.3 Å³/cell.

It has space group I4/mmm (No. 139), with a = 3.636 Å, b = 3.636 Å, c = 15.380 Å, α = 90.00°, β = 90.00° and γ = 90.00°. The asymmetric unit holds Nd at (0.000, 0.000, 0.165) and Ho at (0.000, 0.000, 0.500).